The following is a DFT calculation (GGA+U) of crystalline Li3CrO4 at its relaxed geometry.

Computed properties:
Energy above the most stable polymorph in this dataset = 0.068 eV per atom
Uncorrected energy = -0.21711 Ha/atom
M_tot = 1.000 μB per formula unit

extended XYZ file:
```
16
Lattice="5.0100 -0.0246 0.0012 -1.8275 4.8194 0.0007 -0.0013 -0.0014 5.7899" Properties=species:S:1:pos:R:3 pbc="T T T"
Li 1.9949 4.6985 2.1522
Li -0.5105 4.7105 3.6404
Li 2.7955 2.4520 3.5853
Li 0.2909 2.4650 2.2068
Li 2.9376 2.3599 0.7098
Li 0.4313 2.3712 5.0821
Cr 1.3190 0.0478 0.8814
Cr 3.8231 0.0344 4.9097
O 4.4037 1.1521 3.7391
O 1.8992 1.1650 2.0529
O 1.2186 3.6559 3.7545
O -1.2858 3.6688 2.0371
O 2.1033 1.0084 5.1577
O 4.6094 0.9972 0.6343
O 3.4667 3.7614 5.1544
O 0.9625 3.7751 0.6384
```